Record 1
# Ca3WO6 (meta-GGA SCAN, single point on PBEsol structure)
# calculated total energy = -16.651 eV/atom
# formation energy (no corrections) = -3.044 eV per atom
data_Ca3WO6
_chemical_formula_sum 'Ca6 W2 O12'
_space_group_name_H-M_alt 'P 1 21/c 1'
_space_group_IT_number 14
_cell_length_a 5.510
_cell_length_b 5.806
_cell_length_c 9.668
_cell_angle_alpha 90.00
_cell_angle_beta 124.45
_cell_angle_gamma 90.00
loop_
_space_group_symop_operation_xyz
'x,y,z'
'-x,-y,-z'
'-x,y+1/2,-z+1/2'
'x,-y+1/2,z+1/2'
loop_
_atom_site_label
_atom_site_type_symbol
_atom_site_fract_x
_atom_site_fract_y
_atom_site_fract_z
Ca1 Ca 0.000 0.000 0.000
Ca2 Ca 0.225 0.059 0.742
W1 W 0.500 0.000 0.500
O1 O 0.164 0.176 0.449
O2 O 0.258 0.724 0.426
O3 O 0.392 0.056 0.275

Record 2
# CaYO3 (meta-GGA SCAN, single point on PBEsol structure)
# calculated total energy = -13.915 eV/atom
# formation energy (no corrections) = -2.675 eV per atom
data_CaYO3
_chemical_formula_sum 'Ca1 Y1 O3'
_space_group_name_H-M_alt 'P m -3 m'
_space_group_IT_number 221
_space_group_name_Hall '-P 4 2 3'
_cell_length_a 4.285
_cell_length_b 4.285
_cell_length_c 4.285
_cell_angle_alpha 90.00
_cell_angle_beta 90.00
_cell_angle_gamma 90.00
loop_
_atom_site_label
_atom_site_type_symbol
_atom_site_fract_x
_atom_site_fract_y
_atom_site_fract_z
Ca1 Ca 0.000 0.000 0.000
Y1 Y 0.500 0.500 0.500
O1 O 0.000 0.500 0.500

Record 3
# CaZnO2 (meta-GGA SCAN, single point on PBEsol structure)
# calculated total energy = -11.201 eV/atom
# formation energy (no corrections) = -2.290 eV per atom
data_CaZnO2
_chemical_formula_sum 'Ca4 Zn4 O8'
_space_group_name_H-M_alt 'I -4 2 d'
_space_group_IT_number 122
_space_group_name_Hall 'I -4 2bw'
_cell_length_a 4.889
_cell_length_b 4.889
_cell_length_c 9.546
_cell_angle_alpha 90.00
_cell_angle_beta 90.00
_cell_angle_gamma 90.00
loop_
_atom_site_label
_atom_site_type_symbol
_atom_site_fract_x
_atom_site_fract_y
_atom_site_fract_z
Ca1 Ca 0.000 0.000 0.000
Zn1 Zn 0.000 0.000 0.500
O1 O 0.208 0.250 0.625

Record 4
# CaZr4O9 (meta-GGA SCAN, single point on PBEsol structure)
# calculated total energy = -17.101 eV/atom
# formation energy (no corrections) = -3.634 eV per atom
data_CaZr4O9
_chemical_formula_sum 'Ca4 Zr16 O36'
_space_group_name_H-M_alt 'C 1 2/m 1'
_space_group_IT_number 12
_cell_length_a 32.539
_cell_length_b 3.457
_cell_length_c 6.091
_cell_angle_alpha 90.00
_cell_angle_beta 92.51
_cell_angle_gamma 90.00
loop_
_space_group_symop_operation_xyz
'x,y,z'
'-x,-y,-z'
'-x,y,-z'
'x,-y,z'
'x+1/2,y+1/2,z'
'-x+1/2,-y+1/2,-z'
'-x+1/2,y+1/2,-z'
'x+1/2,-y+1/2,z'
loop_
_atom_site_label
_atom_site_type_symbol
_atom_site_fract_x
_atom_site_fract_y
_atom_site_fract_z
Ca1 Ca 0.000 0.000 0.000
Ca2 Ca 0.000 0.500 0.500
Zr1 Zr 0.087 0.000 0.670
Zr2 Zr 0.105 0.500 0.175
Zr3 Zr 0.192 0.000 0.397
Zr4 Zr 0.207 0.500 0.884
O1 O 0.026 0.000 0.692
O2 O 0.068 0.500 0.441
O3 O 0.073 0.000 0.060
O4 O 0.110 0.500 0.820
O5 O 0.128 0.000 0.394
O6 O 0.169 0.500 0.163
O7 O 0.181 0.000 0.756
O8 O 0.216 0.500 0.526
O9 O 0.230 0.000 0.117

Record 5
# CaOs (meta-GGA SCAN, single point on PBEsol structure)
# energy relative to the elements = 0.745 eV per formula unit
# calculated total energy = -40.399 eV/atom
data_CaOs
_chemical_formula_sum 'Ca6 Os6'
_space_group_name_H-M_alt 'C 1 m 1'
_space_group_IT_number 8
_cell_length_a 10.886
_cell_length_b 2.845
_cell_length_c 8.128
_cell_angle_alpha 90.00
_cell_angle_beta 108.86
_cell_angle_gamma 90.00
loop_
_space_group_symop_operation_xyz
'x,y,z'
'x,-y,z'
'x+1/2,y+1/2,z'
'x+1/2,-y+1/2,z'
loop_
_atom_site_label
_atom_site_type_symbol
_atom_site_fract_x
_atom_site_fract_y
_atom_site_fract_z
Ca1 Ca 0.000 0.000 0.000
Ca2 Ca 0.014 0.000 0.396
Ca3 Ca 0.195 0.500 0.780
Os1 Os 0.249 0.500 0.373
Os2 Os 0.286 0.000 0.130
Os3 Os 0.381 0.000 0.632

Record 6
# CaOs3 (meta-GGA SCAN, single point on PBEsol structure)
# energy relative to the elements = 3.042 eV per formula unit
# calculated total energy = -55.565 eV/atom
data_CaOs3
_chemical_formula_sum 'Ca1 Os3'
_space_group_name_H-M_alt 'P 4/m m m'
_space_group_IT_number 123
_space_group_name_Hall '-P 4 2'
_cell_length_a 4.615
_cell_length_b 4.615
_cell_length_c 2.919
_cell_angle_alpha 90.00
_cell_angle_beta 90.00
_cell_angle_gamma 90.00
loop_
_atom_site_label
_atom_site_type_symbol
_atom_site_fract_x
_atom_site_fract_y
_atom_site_fract_z
Ca1 Ca 0.000 0.000 0.000
Os1 Os 0.000 0.500 0.500
Os2 Os 0.500 0.500 0.000

Record 7
# CaOs (meta-GGA SCAN, single point on PBEsol structure)
# energy relative to the elements = 0.919 eV per formula unit
# calculated total energy = -40.312 eV/atom
data_CaOs
_chemical_formula_sum 'Ca2 Os2'
_space_group_name_H-M_alt 'P m m a'
_space_group_IT_number 51
_cell_length_a 4.369
_cell_length_b 3.115
_cell_length_c 6.720
_cell_angle_alpha 90.00
_cell_angle_beta 90.00
_cell_angle_gamma 90.00
loop_
_space_group_symop_operation_xyz
'x,y,z'
'-x,-y,-z'
'-x+1/2,-y,z'
'x+1/2,y,-z'
'x+1/2,-y,-z'
'-x+1/2,y,z'
'-x,y,-z'
'x,-y,z'
loop_
_atom_site_label
_atom_site_type_symbol
_atom_site_fract_x
_atom_site_fract_y
_atom_site_fract_z
Ca1 Ca 0.250 0.000 0.197
Os1 Os 0.250 0.500 0.572

Record 8
# Ca2P2Os (meta-GGA SCAN, single point on PBEsol structure)
# energy relative to the elements = 2.816 eV per formula unit
# calculated total energy = -21.838 eV/atom
data_Ca2P2Os
_chemical_formula_sum 'Ca4 P4 Os2'
_space_group_name_H-M_alt 'I 4/m m m'
_space_group_IT_number 139
_space_group_name_Hall '-I 4 2'
_cell_length_a 4.084
_cell_length_b 4.084
_cell_length_c 11.183
_cell_angle_alpha 90.00
_cell_angle_beta 90.00
_cell_angle_gamma 90.00
loop_
_atom_site_label
_atom_site_type_symbol
_atom_site_fract_x
_atom_site_fract_y
_atom_site_fract_z
Ca1 Ca 0.000 0.500 0.250
P1 P 0.000 0.000 0.090
Os1 Os 0.000 0.000 0.500

Record 9
# CaOs2Pb (meta-GGA SCAN, single point on PBEsol structure)
# energy relative to the elements = 0.606 eV per formula unit
# calculated total energy = -57.150 eV/atom
data_CaOs2Pb
_chemical_formula_sum 'Ca3 Os6 Pb3'
_space_group_name_H-M_alt 'R 3 m'
_space_group_IT_number 160
_space_group_name_Hall 'R 3 -2"'
_cell_length_a 4.1025
_cell_length_b 4.1025
_cell_length_c 19.3247
_cell_angle_alpha 90.00
_cell_angle_beta 90.00
_cell_angle_gamma 120.00
loop_
_atom_site_label
_atom_site_type_symbol
_atom_site_fract_x
_atom_site_fract_y
_atom_site_fract_z
Ca1 Ca 0.0000 0.0000 0.0000
Os1 Os 0.0000 0.0000 0.2350
Os2 Os 0.0000 0.0000 0.5428
Pb1 Pb 0.0000 0.0000 0.7918

Record 10
# CaOs2Pb (meta-GGA SCAN, single point on PBEsol structure)
# energy relative to the elements = 4.537 eV per formula unit
# calculated total energy = -56.167 eV/atom
data_CaOs2Pb
_chemical_formula_sum 'Ca2 Os4 Pb2'
_space_group_name_H-M_alt 'C m m m'
_space_group_IT_number 65
_space_group_name_Hall '-C 2 2'
_cell_length_a 3.177
_cell_length_b 4.858
_cell_length_c 9.609
_cell_angle_alpha 90.00
_cell_angle_beta 90.00
_cell_angle_gamma 90.00
loop_
_atom_site_label
_atom_site_type_symbol
_atom_site_fract_x
_atom_site_fract_y
_atom_site_fract_z
Ca1 Ca 0.000 0.000 0.000
Os1 Os 0.000 0.500 0.247
Pb1 Pb 0.000 0.000 0.500

Record 11
# CaOs2Pb (meta-GGA SCAN, single point on PBEsol structure)
# energy relative to the elements = 3.145 eV per formula unit
# calculated total energy = -56.515 eV/atom
data_CaOs2Pb
_chemical_formula_sum 'Ca2 Os4 Pb2'
_space_group_name_H-M_alt 'C 1 2/m 1'
_space_group_IT_number 12
_cell_length_a 9.677
_cell_length_b 3.116
_cell_length_c 5.248
_cell_angle_alpha 90.00
_cell_angle_beta 104.10
_cell_angle_gamma 90.00
loop_
_space_group_symop_operation_xyz
'x,y,z'
'-x,-y,-z'
'-x,y,-z'
'x,-y,z'
'x+1/2,y+1/2,z'
'-x+1/2,-y+1/2,-z'
'-x+1/2,y+1/2,-z'
'x+1/2,-y+1/2,z'
loop_
_atom_site_label
_atom_site_type_symbol
_atom_site_fract_x
_atom_site_fract_y
_atom_site_fract_z
Ca1 Ca 0.000 0.000 0.000
Os1 Os 0.239 0.000 0.695
Pb1 Pb 0.000 0.500 0.500

Record 12
# CaSi2OsPb (meta-GGA SCAN, single point on PBEsol structure)
# calculated total energy = -33.416 eV/atom
# formation energy (no corrections) = 2.055 eV per atom
data_CaSi2OsPb
_chemical_formula_sum 'Ca1 Si2 Os1 Pb1'
_space_group_name_H-M_alt 'P 4/m m m'
_space_group_IT_number 123
_space_group_name_Hall '-P 4 2'
_cell_length_a 5.103
_cell_length_b 5.103
_cell_length_c 4.725
_cell_angle_alpha 90.00
_cell_angle_beta 90.00
_cell_angle_gamma 90.00
loop_
_atom_site_label
_atom_site_type_symbol
_atom_site_fract_x
_atom_site_fract_y
_atom_site_fract_z
Ca1 Ca 0.000 0.000 0.000
Si1 Si 0.000 0.500 0.000
Os1 Os 0.000 0.000 0.500
Pb1 Pb 0.500 0.500 0.500